Density functional theory data (PBE-GGA) for Er3PaAg3Se8 after structural relaxation.

Results
The symmetry is No. 12. The calculation puts the uncorrected formation energy at -1.190 eV per atom.

Lattice parameters (Å, degrees): 8.038 8.038 8.054 117.89 117.89 62.20
Atoms (fractional coordinates):
Er  0.000  0.000  0.000
Er  0.000  0.500  0.500
Er  0.500  0.000  0.500
Pa  0.500  0.500  0.000
Ag  0.000  0.500  0.000
Ag  0.500  0.000  0.000
Ag  0.500  0.500  0.500
Se  0.245  0.749  0.752
Se  0.249  0.249  0.252
Se  0.251  0.251  0.744
Se  0.251  0.755  0.248
Se  0.749  0.245  0.752
Se  0.749  0.749  0.256
Se  0.751  0.751  0.748
Se  0.755  0.251  0.248

Density functional theory data (PBE-GGA) for In2Ge2Mo after structural relaxation.

Results
The symmetry is No. 127. The formation energy comes out at 33 kJ per mole of atoms.

Lattice parameters (Å, degrees): 6.853 6.853 4.241 90.00 90.00 90.00
Atoms (fractional coordinates):
In  0.173  0.327  0.000
In  0.327  0.827  0.000
In  0.673  0.173  0.000
In  0.827  0.673  0.000
Ge  0.137  0.637  0.500
Ge  0.363  0.137  0.500
Ge  0.637  0.863  0.500
Ge  0.863  0.363  0.500
Mo  0.000  0.000  0.500
Mo  0.500  0.500  0.500

Density functional theory data (PBE-GGA) for In3NiSn after structural relaxation.

Results
The symmetry is No. 221. For the offset from the most stable computed form, the calculation gives 85.7 meV/atom. The formation energy comes out at 7 kJ per mole of atoms.

Lattice parameters (Å, degrees): 5.008 5.008 5.008 90.00 90.00 90.00
Atoms (fractional coordinates):
In  0.000  0.000  0.500
In  0.000  0.500  0.000
In  0.500  0.000  0.000
Ni  0.000  0.000  0.000
Sn  0.500  0.500  0.500

Density functional theory data (PBE-GGA) for CaY2C2 after structural relaxation.

Results
The symmetry is No. 127. For the offset from the most stable computed form, the calculation gives 0.0 meV/atom. The formation energy comes out at 23 kJ per mole of atoms.

Lattice parameters (Å, degrees): 7.100 7.100 3.428 90.00 90.00 90.00
Atoms (fractional coordinates):
Ca  0.000  0.000  0.000
Ca  0.500  0.500  0.000
Y  0.144  0.356  0.500
Y  0.356  0.856  0.500
Y  0.644  0.144  0.500
Y  0.856  0.644  0.500
C  0.171  0.671  0.000
C  0.329  0.171  0.000
C  0.671  0.829  0.000
C  0.829  0.329  0.000

Density functional theory data (PBE-GGA) for MgHgSb2 after structural relaxation.

Results
The symmetry is No. 12. The calculation puts the uncorrected formation energy at -0.014 eV per atom. For the offset from the most stable computed form, the calculation gives 28.5 meV/atom.

Lattice parameters (Å, degrees): 6.255 8.096 4.616 90.00 112.95 90.00
Atoms (fractional coordinates):
Mg  0.000  0.000  0.000
Mg  0.500  0.500  0.000
Hg  0.000  0.500  0.000
Hg  0.500  0.000  0.000
Sb  0.250  0.250  0.500
Sb  0.250  0.750  0.500
Sb  0.750  0.250  0.500
Sb  0.750  0.750  0.500

Density functional theory data (PBE-GGA) for YAgPd2 after structural relaxation.

Results
The symmetry is No. 71. For the offset from the most stable computed form, the calculation gives 704.3 meV/atom. The formation energy comes out at 4 kJ per mole of atoms.

Lattice parameters (Å, degrees): 3.131 4.932 10.704 90.00 90.00 90.00
Atoms (fractional coordinates):
Y  0.000  0.000  0.000
Y  0.500  0.500  0.500
Ag  0.000  0.000  0.500
Ag  0.500  0.500  0.000
Pd  0.000  0.000  0.250
Pd  0.000  0.000  0.750
Pd  0.500  0.500  0.250
Pd  0.500  0.500  0.750

D(E_F) (states/eV/cell)
3.42 7.76 2.84 0.55 4.32 6.37
DFT total energy (Ha/atom)
-0.190 -0.175 -0.130 -0.237 -0.094 -0.179
Size of the total moment (μB per formula unit)
1.039 0.000 0.000 0.000 0.000 0.000